{"formula": "Sc2Al3Ag", "functional": "GGA-PBE", "state": "relaxed", "final_energy_ev_per_atom": -4.88, "delta_e_f_ev_per_atom": -0.424, "crystal_system": "orthorhombic", "rho_g_cm3": 4.1, "vol_a3_per_fu": 112.5, "cell": [[0.0000, 4.5010, 7.8248], [3.1945, 0.0000, 7.8248], [3.1945, 4.5010, 0.0000]], "species": ["Sc", "Sc", "Sc", "Sc", "Al", "Al", "Al", "Al", "Al", "Al", "Ag", "Ag"], "fractional_positions": [[0.2485, 0.7515, 0.7515], [0.2500, 0.2500, 0.2500], [0.7500, 0.7500, 0.7500], [0.7515, 0.2485, 0.2485], [0.1658, 0.1658, 0.8342], [0.1683, 0.6645, 0.3355], [0.3355, 0.8317, 0.1683], [0.6645, 0.1683, 0.8317], [0.8317, 0.3355, 0.6645], [0.8342, 0.8342, 0.1658], [0.3322, 0.3322, 0.6678], [0.6678, 0.6678, 0.3322]]}

***

{"formula": "SrLiB2O4", "functional": "GGA-PBE", "state": "relaxed", "final_energy_ev_per_atom": -6.78, "formation_energy_uncorrected_mev_per_atom": -2187, "crystal_system": "orthorhombic", "rho_g_cm3": 2.9, "vol_a3_per_fu": 104.8, "cell": [[-2.5114, 3.1519, 3.3084], [2.5114, -3.1519, 3.3084], [2.5114, 3.1519, -3.3084]], "species": ["Sr", "Li", "B", "B", "O", "O", "O", "O"], "fractional_positions": [[0.0000, 0.0000, 0.0000], [0.5000, 0.5000, 0.0000], [0.3546, 0.8546, 0.5000], [0.6454, 0.1454, 0.5000], [0.1848, 0.0038, 0.6055], [0.3983, 0.5793, 0.3945], [0.6017, 0.9962, 0.1810], [0.8152, 0.4207, 0.8190]]}